No. 1
The following is a DFT calculation (PBE-GGA) of AgP2Au after structural relaxation.

Summary:
- Crystal system: monoclinic
- Density of states at the Fermi level: 0.76 states/eV/cell
- Formation energy: 42 kJ/mol of formula units
- ΔE to the lowest computed polymorph: 0.0000 eV/atom
- ρ: 7.82 Mg/m³
- Total DFT energy (no corrections): -4.1282 eV/atom

The structure in POSCAR format:
```
AgP2Au
1.0
3.7314 0.0000 0.0000
0.0000 4.7778 -0.0882
0.0000 -0.6244 4.3802
Ag Au P
1 1 2
Direct
0.5000 0.2500 0.2500
0.5000 0.7500 0.7500
0.0000 0.5822 0.0536
0.0000 0.9178 0.4464
```

***

No. 2
The following is a DFT calculation (PBE-GGA) of AgPAu3 after structural relaxation.

Summary:
- Crystal system: cubic
- Density of states at the Fermi level: 3.05 states/eV/cell
- Formation energy: 590 kJ/mol of formula units
- ΔE to the lowest computed polymorph: 0.9534 eV/atom
- ρ: 9.49 Mg/m³
- Total DFT energy (no corrections): -2.3966 eV/atom

The structure in POSCAR format:
```
AgPAu3
1.0
5.0349 0.0000 0.0000
0.0000 5.0349 0.0000
0.0000 0.0000 5.0349
P Au Ag
1 3 1
Direct
0.5000 0.5000 0.5000
0.0000 0.5000 0.0000
0.0000 0.0000 0.5000
0.5000 0.0000 0.0000
0.0000 0.0000 0.0000
```

***

No. 3
The following is a DFT calculation (PBE-GGA) of AgPAu2 after structural relaxation.

Summary:
- Crystal system: orthorhombic
- Density of states at the Fermi level: 1.32 states/eV/cell
- Formation energy: 89 kJ/mol of formula units
- ρ: 12.67 Mg/m³
- Total DFT energy (no corrections): -3.4726 eV/atom

The structure in POSCAR format:
```
AgPAu2
1.0
-2.5277 0.6179 1.2686
-1.3028 -2.0067 -1.6299
1.5295 -5.7385 5.8426
Ag Au P
1 2 1
Direct
0.5000 0.5000 0.7413
0.0000 0.0000 0.9983
0.5000 0.5000 0.2613
0.0000 0.0000 0.4991
```

***

No. 4
The following is a DFT calculation (PBE-GGA) of AgP2Au after structural relaxation.

Summary:
- Crystal system: orthorhombic
- Density of states at the Fermi level: 1.68 states/eV/cell
- Formation energy: 158 kJ/mol of formula units
- ΔE to the lowest computed polymorph: 0.3011 eV/atom
- ρ: 8.71 Mg/m³
- Total DFT energy (no corrections): -3.8270 eV/atom

The structure in POSCAR format:
```
AgP2Au
1.0
2.9585 -0.0065 0.0000
-1.3222 2.6466 0.0000
0.0000 0.0000 8.9381
Ag Au P
1 1 2
Direct
0.0000 0.0000 0.4880
0.5000 0.5000 0.7537
0.0000 0.0000 0.0390
0.5000 0.5000 0.2193
```

***

No. 5
The following is a DFT calculation (PBE-GGA) of AgP2Au after structural relaxation.

Summary:
- Crystal system: trigonal
- Density of states at the Fermi level: 1.42 states/eV/cell
- Formation energy: 49 kJ/mol of formula units
- ΔE to the lowest computed polymorph: 0.0169 eV/atom
- ρ: 8.92 Mg/m³
- Total DFT energy (no corrections): -4.1113 eV/atom

The structure in POSCAR format:
```
AgP2Au
1.0
7.5299 -0.0625 -0.0372
6.8378 3.1538 -0.0372
6.8378 1.4712 2.7899
Ag Au P
1 1 2
Direct
0.5068 0.5068 0.5068
0.7404 0.7404 0.7404
0.9898 0.9898 0.9898
0.2631 0.2631 0.2631
```

***

No. 6
The following is a DFT calculation (PBE-GGA) of Ag2PAu after structural relaxation.

Summary:
- Crystal system: orthorhombic
- Density of states at the Fermi level: 0.92 states/eV/cell
- Formation energy: 86 kJ/mol of formula units
- ρ: 10.54 Mg/m³
- Total DFT energy (no corrections): -3.3739 eV/atom

The structure in POSCAR format:
```
Ag2PAu
1.0
5.5382 0.0536 0.1807
2.5331 4.9252 -0.1807
-3.4535 -3.4332 2.6446
Ag Au P
2 1 1
Direct
0.0191 0.0191 0.0000
0.4809 0.4809 0.0000
0.7500 0.2500 0.5000
0.2500 0.7500 0.5000
```

***

No. 7
The following is a DFT calculation (PBE-GGA) of Ag2PAu after structural relaxation.

Summary:
- Crystal system: orthorhombic
- Density of states at the Fermi level: 1.18 states/eV/cell
- Formation energy: 89 kJ/mol of formula units
- ρ: 10.51 Mg/m³
- Total DFT energy (no corrections): -3.3677 eV/atom

The structure in POSCAR format:
```
Ag2PAu
1.0
-0.5114 4.4358 -2.3008
-1.4082 -3.7415 -3.0414
-2.7761 0.2116 1.0250
Ag Au P
2 1 1
Direct
0.0000 0.0000 0.0000
0.5000 0.5000 0.0000
0.5000 0.0000 0.5000
0.0000 0.5000 0.5000
```

***

No. 8
The following is a DFT calculation (PBE-GGA) of AgPAu2 after structural relaxation.

Summary:
- Crystal system: monoclinic
- Density of states at the Fermi level: 1.25 states/eV/cell
- Formation energy: 48 kJ/mol of formula units
- ρ: 12.16 Mg/m³
- Total DFT energy (no corrections): -3.5801 eV/atom

The structure in POSCAR format:
```
AgPAu2
1.0
4.9124 0.0000 0.0000
0.0000 2.9120 0.4562
0.0000 2.1231 5.4186
Ag Au P
1 2 1
Direct
0.5000 0.5484 0.8261
0.0000 0.9551 0.9202
0.5000 0.5455 0.3294
0.0000 0.4511 0.4243
```

***

No. 9
The following is a DFT calculation (PBE-GGA) of AgPAu2 after structural relaxation.

Summary:
- Crystal system: monoclinic
- Density of states at the Fermi level: 1.01 states/eV/cell
- Formation energy: 78 kJ/mol of formula units
- ρ: 12.12 Mg/m³
- Total DFT energy (no corrections): -3.5026 eV/atom

The structure in POSCAR format:
```
AgPAu2
1.0
-1.2532 -2.8598 3.9883
-1.6259 -4.6879 1.0175
3.5457 -2.9405 1.3646
Ag Au P
1 2 1
Direct
0.2265 0.2265 0.3080
0.0206 0.0206 0.9935
0.7831 0.7831 0.7648
0.4698 0.4698 0.4338
```

***

No. 10
The following is a DFT calculation (PBE-GGA) of Ag2PAu after structural relaxation.

Summary:
- Crystal system: orthorhombic
- Density of states at the Fermi level: 0.90 states/eV/cell
- Formation energy: 75 kJ/mol of formula units
- ρ: 10.60 Mg/m³
- Total DFT energy (no corrections): -3.4020 eV/atom

The structure in POSCAR format:
```
Ag2PAu
1.0
-2.3247 -1.3348 1.0524
1.7043 -1.9320 1.2869
0.3188 4.8356 6.8374
Ag Au P
2 1 1
Direct
0.0000 0.0000 0.9913
0.0000 0.0000 0.5087
0.5000 0.5000 0.2500
0.5000 0.5000 0.7500
```

***

No. 11
The following is a DFT calculation (PBE-GGA) of AgP2Au after structural relaxation.

Summary:
- Crystal system: orthorhombic
- Density of states at the Fermi level: 0.74 states/eV/cell
- Formation energy: 186 kJ/mol of formula units
- ΔE to the lowest computed polymorph: 0.3723 eV/atom
- ρ: 8.93 Mg/m³
- Total DFT energy (no corrections): -3.7559 eV/atom

The structure in POSCAR format:
```
AgP2Au
1.0
-1.9629 -1.7202 -4.2385
2.9590 -3.5715 1.8070
-2.2195 -1.0975 1.4709
Ag Au P
1 1 2
Direct
0.5000 0.0000 0.5000
0.0000 0.5000 0.5000
0.0000 0.0000 0.0000
0.5000 0.5000 0.0000
```

***

No. 12
The following is a DFT calculation (PBE-GGA) of AgP3Au after structural relaxation.

Summary:
- Crystal system: cubic
- Density of states at the Fermi level: 4.18 states/eV/cell
- Formation energy: 650 kJ/mol of formula units
- ρ: 6.03 Mg/m³
- Total DFT energy (no corrections): -3.1241 eV/atom

The structure in POSCAR format:
```
AgP3Au
1.0
4.7836 0.0000 0.0000
0.0000 4.7836 0.0000
0.0000 0.0000 4.7836
P Au Ag
3 1 1
Direct
0.0000 0.5000 0.0000
0.0000 0.0000 0.5000
0.5000 0.0000 0.0000
0.5000 0.5000 0.5000
0.0000 0.0000 0.0000
```

***

Question: The highest total DFT energy (no corrections) belongs to which entry?
Answer: AgPAu3

***

Question: What is the formula in the fourth record?
Answer: AgP2Au